Sr2Li3Cu12Ir | PBE | relaxed

Final energy = -3.577 eV per atom
ρ = 6.38 g cm⁻³
Symmetry = R-3m
Size of the total moment = 0.00 μB/f.u.

Geometry as CIF:
```
data_Sr2Li3Cu12Ir
_cell_length_a 10.0136
_cell_length_b 10.0136
_cell_length_c 10.0136
_cell_angle_alpha 35.30
_cell_angle_beta 35.30
_cell_angle_gamma 35.30
_space_group_name_H-M_alt 'P 1'
_space_group_IT_number 1
loop_
_space_group_symop_operation_xyz
'x,y,z'
loop_
_atom_site_label
_atom_site_fract_x
_atom_site_fract_y
_atom_site_fract_z
Sr1 0.1495 0.1495 0.1495
Sr2 0.8504 0.8504 0.8504
Li1 0.0000 0.5000 0.5000
Li2 0.5000 0.0000 0.5000
Li3 0.5000 0.5000 0.0000
Cu1 0.0837 0.0837 0.6884
Cu2 0.0837 0.6884 0.0837
Cu3 0.1483 0.5652 0.5652
Cu4 0.3116 0.9163 0.9163
Cu5 0.4348 0.4348 0.8517
Cu6 0.4348 0.8517 0.4348
Cu7 0.5652 0.1483 0.5652
Cu8 0.5652 0.5652 0.1483
Cu9 0.6884 0.0837 0.0837
Cu10 0.8517 0.4348 0.4348
Cu11 0.9163 0.3116 0.9163
Cu12 0.9163 0.9163 0.3116
Ir1 0.5000 0.5000 0.5000
```

=====

LiThCuIr | PBE | relaxed

Final energy = -5.843 eV per atom
ρ = 10.76 g cm⁻³
Symmetry = F-43m
Size of the total moment = 0.00 μB/f.u.

Geometry as CIF:
```
data_LiThCuIr
_cell_length_a 4.7612
_cell_length_b 4.7612
_cell_length_c 4.7612
_cell_angle_alpha 60.00
_cell_angle_beta 60.00
_cell_angle_gamma 60.00
_space_group_name_H-M_alt 'P 1'
_space_group_IT_number 1
loop_
_space_group_symop_operation_xyz
'x,y,z'
loop_
_atom_site_label
_atom_site_fract_x
_atom_site_fract_y
_atom_site_fract_z
Li1 0.0000 0.0000 0.0000
Th1 0.5000 0.5000 0.5000
Cu1 0.2500 0.2500 0.2500
Ir1 0.7500 0.7500 0.7500
```

=====

Li2TiCuIr | PBE | relaxed

Final energy = -4.434 eV per atom
ρ = 5.34 g cm⁻³
Excess energy over the best structure of this formula in the dataset = 13.3 kJ per mole of atoms
Symmetry = P4/mmm
Size of the total moment = 0.00 μB/f.u.

Geometry as CIF:
```
data_Li2TiCuIr
_cell_length_a 4.6438
_cell_length_b 4.6438
_cell_length_c 4.5828
_cell_angle_alpha 90.00
_cell_angle_beta 90.00
_cell_angle_gamma 90.00
_space_group_name_H-M_alt 'P 1'
_space_group_IT_number 1
loop_
_space_group_symop_operation_xyz
'x,y,z'
loop_
_atom_site_label
_atom_site_fract_x
_atom_site_fract_y
_atom_site_fract_z
Li1 0.0000 0.5000 0.0000
Li2 0.5000 0.0000 0.0000
Ti1 0.0000 0.0000 0.5000
Cu1 0.5000 0.5000 0.5000
Ir1 0.0000 0.0000 0.0000
```

=====

Li2TiCuIr | PBE | relaxed

Final energy = -4.571 eV per atom
ρ = 6.86 g cm⁻³
Excess energy over the best structure of this formula in the dataset = 0.0 kJ per mole of atoms
Symmetry = P4/mmm
Size of the total moment = 0.00 μB/f.u.

Geometry as CIF:
```
data_Li2TiCuIr
_cell_length_a 3.9891
_cell_length_b 3.9891
_cell_length_c 4.8323
_cell_angle_alpha 90.00
_cell_angle_beta 90.00
_cell_angle_gamma 90.00
_space_group_name_H-M_alt 'P 1'
_space_group_IT_number 1
loop_
_space_group_symop_operation_xyz
'x,y,z'
loop_
_atom_site_label
_atom_site_fract_x
_atom_site_fract_y
_atom_site_fract_z
Li1 0.0000 0.5000 0.0000
Li2 0.5000 0.0000 0.0000
Ti1 0.0000 0.0000 0.5000
Cu1 0.5000 0.5000 0.0000
Ir1 0.5000 0.5000 0.5000
```

=====

LiTlCuIr | PBE | relaxed

Final energy = -4.252 eV per atom
ρ = 12.21 g cm⁻³
Symmetry = F-43m
Size of the total moment = 0.00 μB/f.u.

Geometry as CIF:
```
data_LiTlCuIr
_cell_length_a 4.4781
_cell_length_b 4.4781
_cell_length_c 4.4781
_cell_angle_alpha 60.00
_cell_angle_beta 60.00
_cell_angle_gamma 60.00
_space_group_name_H-M_alt 'P 1'
_space_group_IT_number 1
loop_
_space_group_symop_operation_xyz
'x,y,z'
loop_
_atom_site_label
_atom_site_fract_x
_atom_site_fract_y
_atom_site_fract_z
Li1 0.0000 0.0000 0.0000
Tl1 0.7500 0.7500 0.7500
Cu1 0.2500 0.2500 0.2500
Ir1 0.5000 0.5000 0.5000
```

=====

LiCuIrW | PBE | relaxed

Final energy = -6.912 eV per atom
ρ = 13.59 g cm⁻³
Symmetry = F-43m
Size of the total moment = 0.00 μB/f.u.

Geometry as CIF:
```
data_LiCuIrW
_cell_length_a 4.2577
_cell_length_b 4.2577
_cell_length_c 4.2577
_cell_angle_alpha 60.00
_cell_angle_beta 60.00
_cell_angle_gamma 60.00
_space_group_name_H-M_alt 'P 1'
_space_group_IT_number 1
loop_
_space_group_symop_operation_xyz
'x,y,z'
loop_
_atom_site_label
_atom_site_fract_x
_atom_site_fract_y
_atom_site_fract_z
Li1 0.0000 0.0000 0.0000
Cu1 0.2500 0.2500 0.2500
Ir1 0.5000 0.5000 0.5000
W1 0.7500 0.7500 0.7500
```

=====

Li2Zn5Cu2Ir | PBE | relaxed

Final energy = -2.849 eV per atom
ρ = 6.91 g cm⁻³
Symmetry = P4/mbm
Size of the total moment = 0.00 μB/f.u.

Geometry as CIF:
```
data_Li2Zn5Cu2Ir
_cell_length_a 10.4680
_cell_length_b 10.4680
_cell_length_c 2.8938
_cell_angle_alpha 90.00
_cell_angle_beta 90.00
_cell_angle_gamma 90.00
_space_group_name_H-M_alt 'P 1'
_space_group_IT_number 1
loop_
_space_group_symop_operation_xyz
'x,y,z'
loop_
_atom_site_label
_atom_site_fract_x
_atom_site_fract_y
_atom_site_fract_z
Li1 0.1733 0.3267 0.0000
Li2 0.3267 0.8267 0.0000
Li3 0.6733 0.1733 0.0000
Li4 0.8267 0.6733 0.0000
Zn1 0.0000 0.5000 0.5000
Zn2 0.0646 0.8091 0.5000
Zn3 0.1909 0.0646 0.5000
Zn4 0.3091 0.5646 0.5000
Zn5 0.4354 0.3091 0.5000
Zn6 0.5000 0.0000 0.5000
Zn7 0.5646 0.6909 0.5000
Zn8 0.6909 0.4354 0.5000
Zn9 0.8091 0.9354 0.5000
Zn10 0.9354 0.1909 0.5000
Cu1 0.1338 0.6338 0.0000
Cu2 0.3662 0.1338 0.0000
Cu3 0.6338 0.8662 0.0000
Cu4 0.8662 0.3662 0.0000
Ir1 0.0000 0.0000 0.0000
Ir2 0.5000 0.5000 0.0000
```

=====

LiZnCuIr | PBE | relaxed

Final energy = -4.257 eV per atom
ρ = 10.24 g cm⁻³
Excess energy over the best structure of this formula in the dataset = 0.0 kJ per mole of atoms
Symmetry = Pmmm
Size of the total moment = 0.00 μB/f.u.

Geometry as CIF:
```
data_LiZnCuIr
_cell_length_a 2.9657
_cell_length_b 4.1871
_cell_length_c 4.2828
_cell_angle_alpha 90.00
_cell_angle_beta 90.00
_cell_angle_gamma 90.00
_space_group_name_H-M_alt 'P 1'
_space_group_IT_number 1
loop_
_space_group_symop_operation_xyz
'x,y,z'
loop_
_atom_site_label
_atom_site_fract_x
_atom_site_fract_y
_atom_site_fract_z
Li1 0.0000 0.0000 0.0000
Zn1 0.5000 0.0000 0.5000
Cu1 0.5000 0.5000 0.0000
Ir1 0.0000 0.5000 0.5000
```

=====

LiZnCuIr | PBE | relaxed

Final energy = -4.197 eV per atom
ρ = 10.24 g cm⁻³
Excess energy over the best structure of this formula in the dataset = 5.7 kJ per mole of atoms
Symmetry = F-43m
Size of the total moment = 0.00 μB/f.u.

Geometry as CIF:
```
data_LiZnCuIr
_cell_length_a 4.2222
_cell_length_b 4.2222
_cell_length_c 4.2222
_cell_angle_alpha 60.00
_cell_angle_beta 60.00
_cell_angle_gamma 60.00
_space_group_name_H-M_alt 'P 1'
_space_group_IT_number 1
loop_
_space_group_symop_operation_xyz
'x,y,z'
loop_
_atom_site_label
_atom_site_fract_x
_atom_site_fract_y
_atom_site_fract_z
Li1 0.0000 0.0000 0.0000
Zn1 0.2500 0.2500 0.2500
Cu1 0.7500 0.7500 0.7500
Ir1 0.5000 0.5000 0.5000
```

=====

Li2ZrCuIr | PBE | relaxed

Final energy = -4.625 eV per atom
ρ = 5.70 g cm⁻³
Symmetry = P4/mmm
Size of the total moment = 0.00 μB/f.u.

Geometry as CIF:
```
data_Li2ZrCuIr
_cell_length_a 4.6109
_cell_length_b 4.6109
_cell_length_c 4.9404
_cell_angle_alpha 90.00
_cell_angle_beta 90.00
_cell_angle_gamma 90.00
_space_group_name_H-M_alt 'P 1'
_space_group_IT_number 1
loop_
_space_group_symop_operation_xyz
'x,y,z'
loop_
_atom_site_label
_atom_site_fract_x
_atom_site_fract_y
_atom_site_fract_z
Li1 0.0000 0.5000 0.0000
Li2 0.5000 0.0000 0.0000
Zr1 0.0000 0.0000 0.5000
Cu1 0.5000 0.5000 0.5000
Ir1 0.0000 0.0000 0.0000
```

=====

LuCuIr2 | PBE | relaxed

Final energy = -7.013 eV per atom
ρ = 16.34 g cm⁻³
Symmetry = P4/mmm
Size of the total moment = 0.00 μB/f.u.

Geometry as CIF:
```
data_LuCuIr2
_cell_length_a 3.9835
_cell_length_b 3.9835
_cell_length_c 3.9897
_cell_angle_alpha 90.00
_cell_angle_beta 90.00
_cell_angle_gamma 90.00
_space_group_name_H-M_alt 'P 1'
_space_group_IT_number 1
loop_
_space_group_symop_operation_xyz
'x,y,z'
loop_
_atom_site_label
_atom_site_fract_x
_atom_site_fract_y
_atom_site_fract_z
Lu1 0.0000 0.0000 0.0000
Cu1 0.5000 0.5000 0.0000
Ir1 0.0000 0.5000 0.5000
Ir2 0.5000 0.0000 0.5000
```

=====

LuCu4Ir | PBE | relaxed

Final energy = -5.227 eV per atom
ρ = 12.21 g cm⁻³
Symmetry = F-43m
Size of the total moment = 0.00 μB/f.u.

Geometry as CIF:
```
data_LuCu4Ir
_cell_length_a 4.9253
_cell_length_b 4.9253
_cell_length_c 4.9253
_cell_angle_alpha 60.00
_cell_angle_beta 60.00
_cell_angle_gamma 60.00
_space_group_name_H-M_alt 'P 1'
_space_group_IT_number 1
loop_
_space_group_symop_operation_xyz
'x,y,z'
loop_
_atom_site_label
_atom_site_fract_x
_atom_site_fract_y
_atom_site_fract_z
Lu1 0.0000 0.0000 0.0000
Cu1 0.3758 0.3758 0.3758
Cu2 0.3758 0.3758 0.8727
Cu3 0.3758 0.8727 0.3758
Cu4 0.8727 0.3758 0.3758
Ir1 0.7500 0.7500 0.7500
```

=====

LuCuIr | PBE | relaxed

Final energy = -6.316 eV per atom
ρ = 13.34 g cm⁻³
Excess energy over the best structure of this formula in the dataset = 0.0 kJ per mole of atoms
Symmetry = P-6m2
Size of the total moment = 0.00 μB/f.u.

Geometry as CIF:
```
data_LuCuIr
_cell_length_a 4.2796
_cell_length_b 4.2796
_cell_length_c 3.3807
_cell_angle_alpha 90.00
_cell_angle_beta 90.00
_cell_angle_gamma 120.00
_space_group_name_H-M_alt 'P 1'
_space_group_IT_number 1
loop_
_space_group_symop_operation_xyz
'x,y,z'
loop_
_atom_site_label
_atom_site_fract_x
_atom_site_fract_y
_atom_site_fract_z
Lu1 0.0000 0.0000 0.0000
Cu1 0.3333 0.6667 0.5000
Ir1 0.6667 0.3333 0.5000
```

=====

LuCuIr | PBE | relaxed

Final energy = -6.231 eV per atom
ρ = 13.99 g cm⁻³
Excess energy over the best structure of this formula in the dataset = 8.2 kJ per mole of atoms
Symmetry = I4mm
Size of the total moment = 0.00 μB/f.u.

Geometry as CIF:
```
data_LuCuIr
_cell_length_a 5.0777
_cell_length_b 5.0777
_cell_length_c 5.0777
_cell_angle_alpha 141.14
_cell_angle_beta 141.14
_cell_angle_gamma 56.12
_space_group_name_H-M_alt 'P 1'
_space_group_IT_number 1
loop_
_space_group_symop_operation_xyz
'x,y,z'
loop_
_atom_site_label
_atom_site_fract_x
_atom_site_fract_y
_atom_site_fract_z
Lu1 0.0000 0.0000 0.0000
Cu1 0.6849 0.6849 0.0000
Ir1 0.3258 0.3258 0.0000
```

=====

LuNbCuIr | PBE | relaxed

Final energy = -7.217 eV per atom
ρ = 12.45 g cm⁻³
Symmetry = F-43m
Size of the total moment = 0.00 μB/f.u.

Geometry as CIF:
```
data_LuNbCuIr
_cell_length_a 4.6230
_cell_length_b 4.6230
_cell_length_c 4.6230
_cell_angle_alpha 60.00
_cell_angle_beta 60.00
_cell_angle_gamma 60.00
_space_group_name_H-M_alt 'P 1'
_space_group_IT_number 1
loop_
_space_group_symop_operation_xyz
'x,y,z'
loop_
_atom_site_label
_atom_site_fract_x
_atom_site_fract_y
_atom_site_fract_z
Lu1 0.0000 0.0000 0.0000
Nb1 0.5000 0.5000 0.5000
Cu1 0.2500 0.2500 0.2500
Ir1 0.7500 0.7500 0.7500
```

=====

NdLuCuIr | PBE | relaxed

Final energy = -6.080 eV per atom
ρ = 11.40 g cm⁻³
Symmetry = F-43m
Size of the total moment = 0.00 μB/f.u.

Geometry as CIF:
```
data_NdLuCuIr
_cell_length_a 4.9117
_cell_length_b 4.9117
_cell_length_c 4.9117
_cell_angle_alpha 60.00
_cell_angle_beta 60.00
_cell_angle_gamma 60.00
_space_group_name_H-M_alt 'P 1'
_space_group_IT_number 1
loop_
_space_group_symop_operation_xyz
'x,y,z'
loop_
_atom_site_label
_atom_site_fract_x
_atom_site_fract_y
_atom_site_fract_z
Nd1 0.0000 0.0000 0.0000
Lu1 0.5000 0.5000 0.5000
Cu1 0.7500 0.7500 0.7500
Ir1 0.2500 0.2500 0.2500
```

=====

LuNpCuIr | PBE | relaxed

Final energy = -7.856 eV per atom
ρ = 14.00 g cm⁻³
Symmetry = F-43m
Size of the total moment = 3.93 μB/f.u.

Geometry as CIF:
```
data_LuNpCuIr
_cell_length_a 4.8204
_cell_length_b 4.8204
_cell_length_c 4.8204
_cell_angle_alpha 60.00
_cell_angle_beta 60.00
_cell_angle_gamma 60.00
_space_group_name_H-M_alt 'P 1'
_space_group_IT_number 1
loop_
_space_group_symop_operation_xyz
'x,y,z'
loop_
_atom_site_label
_atom_site_fract_x
_atom_site_fract_y
_atom_site_fract_z
Lu1 0.0000 0.0000 0.0000
Np1 0.5000 0.5000 0.5000
Cu1 0.2500 0.2500 0.2500
Ir1 0.7500 0.7500 0.7500
```

=====

PmLuCuIr | PBE | relaxed

Final energy = -6.103 eV per atom
ρ = 11.55 g cm⁻³
Symmetry = F-43m
Size of the total moment = 0.00 μB/f.u.

Geometry as CIF:
```
data_PmLuCuIr
_cell_length_a 4.8915
_cell_length_b 4.8915
_cell_length_c 4.8915
_cell_angle_alpha 60.00
_cell_angle_beta 60.00
_cell_angle_gamma 60.00
_space_group_name_H-M_alt 'P 1'
_space_group_IT_number 1
loop_
_space_group_symop_operation_xyz
'x,y,z'
loop_
_atom_site_label
_atom_site_fract_x
_atom_site_fract_y
_atom_site_fract_z
Pm1 0.0000 0.0000 0.0000
Lu1 0.5000 0.5000 0.5000
Cu1 0.7500 0.7500 0.7500
Ir1 0.2500 0.2500 0.2500
```

=====

PrLuCuIr | PBE | relaxed

Final energy = -6.056 eV per atom
ρ = 11.18 g cm⁻³
Symmetry = F-43m
Size of the total moment = 0.00 μB/f.u.

Geometry as CIF:
```
data_PrLuCuIr
_cell_length_a 4.9328
_cell_length_b 4.9328
_cell_length_c 4.9328
_cell_angle_alpha 60.00
_cell_angle_beta 60.00
_cell_angle_gamma 60.00
_space_group_name_H-M_alt 'P 1'
_space_group_IT_number 1
loop_
_space_group_symop_operation_xyz
'x,y,z'
loop_
_atom_site_label
_atom_site_fract_x
_atom_site_fract_y
_atom_site_fract_z
Pr1 0.0000 0.0000 0.0000
Lu1 0.5000 0.5000 0.5000
Cu1 0.2500 0.2500 0.2500
Ir1 0.7500 0.7500 0.7500
```

=====

SmLuCuIr | PBE | relaxed

Final energy = -6.112 eV per atom
ρ = 11.76 g cm⁻³
Symmetry = F-43m
Size of the total moment = 0.00 μB/f.u.

Geometry as CIF:
```
data_SmLuCuIr
_cell_length_a 4.8771
_cell_length_b 4.8771
_cell_length_c 4.8771
_cell_angle_alpha 60.00
_cell_angle_beta 60.00
_cell_angle_gamma 60.00
_space_group_name_H-M_alt 'P 1'
_space_group_IT_number 1
loop_
_space_group_symop_operation_xyz
'x,y,z'
loop_
_atom_site_label
_atom_site_fract_x
_atom_site_fract_y
_atom_site_fract_z
Sm1 0.0000 0.0000 0.0000
Lu1 0.5000 0.5000 0.5000
Cu1 0.2500 0.2500 0.2500
Ir1 0.7500 0.7500 0.7500
```